First-principles (PBEsol) data for RbCr2SI after structural relaxation, as listed in the Alexandria database.

a = 6.0442 Å, b = 6.0953 Å, c = 6.0953 Å
α = 90.00°, β = 90.00°, γ = 90.00°
With the nearest neighbours (Å) after each atom.
Sites, in units of the cell vectors:
I1 0.5000 0.0000 0.0000  2 Rb 3.02
Cr1 0.0000 0.0000 0.5000  2 Rb 3.05
Cr2 0.0000 0.5000 0.0000  2 Rb 3.05
S1 0.5000 0.5000 0.5000  8 Cr 4.29, 4 I 4.31
Rb1 0.0000 0.0000 0.0000  2 I 3.02, 4 Cr 3.05

Computed properties:
Formation energy from raw total energies   1.930 eV per atom
DOS(E_F)   5.32 states/eV per cell
Symmetry   P4/mmm

First-principles (PBEsol) data for Rb2CrTcI after structural relaxation, as listed in the Alexandria database.

a = 5.0579 Å, b = 6.7973 Å, c = 6.7973 Å
α = 90.00°, β = 90.00°, γ = 90.00°
With the nearest neighbours (Å) after each atom.
Sites, in units of the cell vectors:
I1 0.0000 0.0000 0.0000  2 Tc 2.53
Cr1 0.5000 0.5000 0.5000  8 Rb 4.24
Tc1 0.5000 0.0000 0.0000  2 I 2.53
Rb1 0.0000 0.0000 0.5000  2 I 3.40
Rb2 0.0000 0.5000 0.0000  2 I 3.40

Computed properties:
Formation energy from raw total energies   1.292 eV per atom
DOS(E_F)   2.71 states/eV per cell
Symmetry   P4/mmm

First-principles (PBEsol) data for CrReI2 after structural relaxation, as listed in the Alexandria database.

a = 4.7631 Å, b = 4.7631 Å, c = 4.7631 Å
α = 60.00°, β = 60.00°, γ = 60.00°
With the nearest neighbours (Å) after each atom.
Sites, in units of the cell vectors:
I1 0.2500 0.2500 0.2500  4 Cr 2.92, 4 Re 2.92
I2 0.7500 0.7500 0.7500  4 Cr 2.92, 4 Re 2.92
Re1 0.5000 0.5000 0.5000  8 I 2.92
Cr1 0.0000 0.0000 0.0000  8 I 2.92

Computed properties:
Formation energy from raw total energies   1.291 eV per atom
DOS(E_F)   4.91 states/eV per cell
Symmetry   Fm-3m